[1]
A plane-wave DFT calculation with PBE-GGA was carried out for BaCl after structural relaxation.

Computed properties:
raw formation energy	-1757.0	meV/atom
total magnetic moment	0.0	μB per formula unit

Cell: 8.8608 8.8608 4.3314 Å, 90.00 90.00 152.20°
Last column: nearest neighbours and their distance in Å.
Sites, in units of the cell vectors:
1 Ba 0.1222 0.8778 0.7500  5 Cl 3.22-3.32
2 Ba 0.8778 0.1222 0.2500  5 Cl 3.22-3.32
3 Cl 0.3152 0.6848 0.7500  5 Ba 3.22-3.32
4 Cl 0.6848 0.3152 0.2500  5 Ba 3.22-3.32

[2]
A plane-wave DFT calculation with PBE-GGA was carried out for Dy2TmBr after structural relaxation.

Computed properties:
raw formation energy	-511.3	meV/atom
total magnetic moment	0.0	μB per formula unit

Cell: 10.4037 10.4037 10.4037 Å, 20.07 20.07 20.07°
Last column: nearest neighbours and their distance in Å.
Sites, in units of the cell vectors:
1 Dy 0.2432 0.2432 0.2432  3 Br 3.14, 3 Tm 3.46
2 Dy 0.7568 0.7568 0.7568  3 Br 3.14, 3 Tm 3.46
3 Tm 0.0000 0.0000 0.0000  6 Dy 3.46, 6 Tm 3.63
4 Br 0.5000 0.5000 0.5000  6 Dy 3.14

[3]
A plane-wave DFT calculation with PBE-GGA was carried out for Ag2BiHPb after structural relaxation.

Computed properties:
total energy	-15.10	eV for the cell shown
total magnetic moment	0.0	μB per formula unit

Cell: 4.6187 4.6187 4.8462 Å, 90.00 90.00 90.00°
Last column: nearest neighbours and their distance in Å.
Sites, in units of the cell vectors:
1 Ag 0.0000 0.5000 0.0000  2 H 2.31
2 Ag 0.5000 0.0000 0.0000  2 H 2.31
3 Bi 0.0000 0.0000 0.5000  2 H 2.42
4 H 0.0000 0.0000 0.0000  4 Ag 2.31, 2 Bi 2.42
5 Pb 0.5000 0.5000 0.5000  4 Bi 3.27, 8 Ag 3.35

[4]
A plane-wave DFT calculation with PBE-GGA was carried out for Hf2CuS4 after structural relaxation.

Computed properties:
raw formation energy	-511.2	meV/atom
total magnetic moment	0.0	μB per formula unit

Cell: 7.3961 7.3961 7.3961 Å, 145.33 145.33 49.84°
Last column: nearest neighbours and their distance in Å.
Sites, in units of the cell vectors:
1 Hf 0.1208 0.1208 0.0000  5 S 2.48-2.74
2 Hf 0.8792 0.8792 0.0000  5 S 2.48-2.74
3 Cu 0.5000 0.5000 0.0000  4 S 2.20
4 S 0.0000 0.5000 0.5000  2 Cu 2.20
5 S 0.3059 0.3059 0.0000  1 Hf 2.48, 1 Cu 2.60
6 S 0.5000 0.0000 0.5000  2 Cu 2.20
7 S 0.6941 0.6941 0.0000  1 Hf 2.48, 1 Cu 2.60

[5]
A plane-wave DFT calculation with PBE-GGA was carried out for PaTi2N4 after structural relaxation.

Computed properties:
raw formation energy	-1568.4	meV/atom
total magnetic moment	0.0	μB per formula unit

Cell: 5.2004 5.2004 10.1556 Å, 90.00 90.00 145.05°
Last column: nearest neighbours and their distance in Å.
Sites, in units of the cell vectors:
1 Pa 0.1140 0.8860 0.7500  6 N 2.28-2.37
2 Pa 0.8860 0.1140 0.2500  6 N 2.28-2.37
3 Ti 0.3703 0.6297 0.5603  6 N 2.03-2.18
4 Ti 0.3703 0.6297 0.9397  6 N 2.03-2.18
5 Ti 0.6297 0.3703 0.0603  6 N 2.03-2.18
6 Ti 0.6297 0.3703 0.4397  6 N 2.03-2.18
7 N 0.0000 0.0000 0.0000  4 Ti 2.11
8 N 0.0000 0.0000 0.5000  4 Ti 2.11
9 N 0.2718 0.7282 0.1152  3 Ti 2.03-2.18
10 N 0.2718 0.7282 0.3848  3 Ti 2.03-2.18
11 N 0.4466 0.5534 0.7500  2 Ti 2.07, 2 Pa 2.28
12 N 0.5534 0.4466 0.2500  2 Ti 2.07, 2 Pa 2.28
13 N 0.7282 0.2718 0.6152  3 Ti 2.03-2.18
14 N 0.7282 0.2718 0.8848  3 Ti 2.03-2.18

[6]
A plane-wave DFT calculation with PBE-GGA was carried out for Rb2CeInBr6 after structural relaxation.

Computed properties:
raw formation energy	-1587.6	meV/atom
total magnetic moment	1.0	μB per formula unit

Cell: 8.1246 8.6590 14.0984 Å, 90.00 124.00 90.00°
Last column: nearest neighbours and their distance in Å.
Sites, in units of the cell vectors:
1 Rb 0.2173 0.0769 0.2467  6 Br 3.49-3.75
2 Rb 0.2173 0.4231 0.7467  6 Br 3.49-3.75
3 Rb 0.7827 0.5769 0.2533  6 Br 3.49-3.75
4 Rb 0.7827 0.9231 0.7533  6 Br 3.49-3.75
5 Ce 0.5000 0.0000 0.0000  6 Br 2.93-2.94
6 Ce 0.5000 0.5000 0.5000  6 Br 2.93-2.94
7 In 0.0000 0.0000 0.5000  6 Br 3.28-3.32
8 In 0.0000 0.5000 0.0000  6 Br 3.28-3.32
9 Br 0.1539 0.1826 0.9450  1 Ce 2.93
10 Br 0.1539 0.3174 0.4450  1 Ce 2.93
11 Br 0.2598 0.7175 0.9345  1 Ce 2.94
12 Br 0.2598 0.7825 0.4345  1 Ce 2.94
13 Br 0.3846 0.0439 0.7646  1 Ce 2.93
14 Br 0.3846 0.4561 0.2646  1 Ce 2.93
15 Br 0.6154 0.5439 0.7354  1 Ce 2.93
16 Br 0.6154 0.9561 0.2354  1 Ce 2.93
17 Br 0.7402 0.2175 0.5655  1 Ce 2.94
18 Br 0.7402 0.2825 0.0655  1 Ce 2.94
19 Br 0.8461 0.6826 0.5550  1 Ce 2.93
20 Br 0.8461 0.8174 0.0550  1 Ce 2.93

[7]
A plane-wave DFT calculation with PBE-GGA was carried out for Ca2ScSb after structural relaxation.

Computed properties:
raw formation energy	-377.4	meV/atom
total magnetic moment	0.0	μB per formula unit

Cell: 4.2167 4.2167 6.5281 Å, 90.00 90.00 90.00°
Last column: nearest neighbours and their distance in Å.
Sites, in units of the cell vectors:
1 Ca 0.0000 0.0000 0.2363  2 Ca 3.09-3.44, 4 Sb 3.36, 4 Sc 3.44
2 Ca 0.0000 0.0000 0.7637  2 Ca 3.09-3.44, 4 Sb 3.36, 4 Sc 3.44
3 Sc 0.5000 0.5000 0.5000  2 Sb 3.26, 8 Ca 3.44
4 Sb 0.5000 0.5000 0.0000  2 Sc 3.26, 8 Ca 3.36

[8]
A plane-wave DFT calculation with PBE-GGA was carried out for Cs2CuAs2O6 after structural relaxation.

Computed properties:
raw formation energy	-1163.7	meV/atom
total magnetic moment	0.0	μB per formula unit

Cell: 6.9091 6.9091 6.9091 Å, 52.08 52.08 52.08°
Last column: nearest neighbours and their distance in Å.
Sites, in units of the cell vectors:
1 Cs 0.2200 0.2200 0.2200  9 O 3.13-3.24
2 Cs 0.7800 0.7800 0.7800  9 O 3.13-3.24
3 Cu 0.0000 0.0000 0.0000  6 O 2.21
4 As 0.4245 0.4245 0.4245  3 O 1.73
5 As 0.5755 0.5755 0.5755  3 O 1.73
6 O 0.2431 0.2431 0.7241  1 As 1.73
7 O 0.2431 0.7241 0.2431  1 As 1.73
8 O 0.2759 0.7569 0.7569  1 As 1.73
9 O 0.7241 0.2431 0.2431  1 As 1.73
10 O 0.7569 0.2759 0.7569  1 As 1.73
11 O 0.7569 0.7569 0.2759  1 As 1.73

How do the records compare in V? In the order shown, they have 79.3 116.0 103.4 130.3 78.7 411.1 116.1 189.8 Å³/f.u..